Li3TiPt4 | Alexandria via LeMat-Bulk | PBE | optimized geometry; DFT total energy = -5.47 eV per atom; SG = I4/mmm, No. 139; formation energy = -742 meV/atom
1.0
4.2262 0.0000 0.0000
0.0000 4.2262 0.0000
0.0000 0.0000 12.2275
Li Ti Pt
6 2 8
Direct
0.0000 0.0000 0.0000
0.0000 0.0000 0.2462
0.0000 0.0000 0.7538
0.5000 0.5000 0.2538
0.5000 0.5000 0.5000
0.5000 0.5000 0.7462
0.0000 0.0000 0.5000
0.5000 0.5000 0.0000
0.0000 0.5000 0.1278
0.0000 0.5000 0.3722
0.0000 0.5000 0.6278
0.0000 0.5000 0.8722
0.5000 0.0000 0.1278
0.5000 0.0000 0.3722
0.5000 0.0000 0.6278
0.5000 0.0000 0.8722

***

LiTi2Pt3 | Alexandria via LeMat-Bulk | PBE | optimized geometry; DFT total energy = -6.79 eV per atom; SG = P4/mmm, No. 123; energy relative to the lowest polymorph listed for this composition = 3.9 meV/atom; formation energy = -823 meV/atom
1.0
3.0872 0.0000 0.0000
0.0000 3.0872 0.0000
0.0000 0.0000 9.4928
Li Ti Pt
1 2 3
Direct
0.0000 0.0000 0.0000
0.0000 0.0000 0.3171
0.0000 0.0000 0.6829
0.5000 0.5000 0.1576
0.5000 0.5000 0.5000
0.5000 0.5000 0.8424

***

LiTiPt3 | Alexandria via LeMat-Bulk | PBE | optimized geometry; DFT total energy = -6.16 eV per atom; SG = P-1, No. 2; energy relative to the lowest polymorph listed for this composition = 0.0 meV/atom; formation energy = -570 meV/atom
1.0
5.0978 0.0000 0.0000
-0.0131 5.3717 0.0000
-1.0768 -2.6866 6.2784
Li Ti Pt
2 2 6
Direct
0.2205 0.4519 0.4051
0.7795 0.5481 0.5949
0.1610 0.8127 0.1257
0.8390 0.1873 0.8743
0.0000 0.0000 0.5000
0.2913 0.4115 0.8290
0.2911 0.9179 0.8288
0.5000 0.0000 0.5000
0.7089 0.0821 0.1712
0.7087 0.5885 0.1710

***

LiTiPt4 | Alexandria via LeMat-Bulk | PBE | optimized geometry; DFT total energy = -6.26 eV per atom; SG = C2/m, No. 12; energy relative to the lowest polymorph listed for this composition = 0.0 meV/atom; formation energy = -598 meV/atom
1.0
9.4094 0.0000 0.0000
0.0000 2.7677 0.0000
-3.2240 0.0000 7.0288
Li Ti Pt
2 2 8
Direct
0.0000 0.0000 0.0000
0.5000 0.5000 0.0000
0.0000 0.0000 0.5000
0.5000 0.5000 0.5000
0.1582 0.5000 0.3351
0.1666 0.5000 0.8291
0.3335 0.0000 0.1709
0.3418 0.0000 0.6649
0.6582 0.0000 0.3351
0.6666 0.0000 0.8291
0.8334 0.5000 0.1709
0.8418 0.5000 0.6649

***

Question: The lowest DFT total energy belongs to which entry?
Answer: LiTi2Pt3